This record from the Open Quantum Materials Database describes NdSnPO after structural relaxation. The functional is PBE.

Output
Electronic total energy = -49.137 eV for the cell shown

Unit cell a=4.2052 b=4.2052 c=9.7227 alpha=90.00 beta=90.00 gamma=90.00
With the nearest neighbours (Å) after each atom.
Space group P4/nmm (No. 129, origin choice 2)
Asymmetric unit:
Nd  0.2500  0.2500  0.1121 (multiplicity 2)  4 O 2.37
Sn  0.2500  0.7500  0.5000 (multiplicity 2)  4 P 2.97, 4 Sn 2.97
P  0.2500  0.2500  0.7163 (multiplicity 2)  4 Sn 2.97
O  0.2500  0.7500  0.0000 (multiplicity 2)  4 Nd 2.37


This record from the Open Quantum Materials Database describes TbNdPO after structural relaxation. The functional is PBE.

Output
Electronic total energy = -54.788 eV for the cell shown

Unit cell a=4.3871 b=4.3871 c=8.8531 alpha=90.00 beta=90.00 gamma=90.00
With the nearest neighbours (Å) after each atom.
Space group P4/nmm (No. 129, origin choice 2)
Asymmetric unit:
Tb  0.2500  0.7500  0.0000 (multiplicity 2)  4 P 2.76
Nd  0.2500  0.2500  0.3885 (multiplicity 2)  4 O 2.41
P  0.2500  0.2500  0.8103 (multiplicity 2)  4 Tb 2.76
O  0.2500  0.7500  0.5000 (multiplicity 2)  4 Nd 2.41


This record from the Open Quantum Materials Database describes TbNdPO after structural relaxation. The functional is PBE.

Output
Electronic total energy = -53.971 eV for the cell shown

Unit cell a=4.3238 b=4.3238 c=8.9105 alpha=90.00 beta=90.00 gamma=90.00
With the nearest neighbours (Å) after each atom.
Space group P4/nmm (No. 129, origin choice 2)
Asymmetric unit:
Tb  0.2500  0.2500  0.0986 (multiplicity 2)  4 O 2.33
Nd  0.2500  0.7500  0.5000 (multiplicity 2)  4 P 2.86, 4 Nd 3.06
P  0.2500  0.2500  0.7094 (multiplicity 2)  4 Nd 2.86
O  0.2500  0.7500  0.0000 (multiplicity 2)  4 Tb 2.33


This record from the Open Quantum Materials Database describes TbNdPO after structural relaxation. The functional is PBE.

Output
Electronic total energy = -55.275 eV for the cell shown

Unit cell a=4.2424 b=7.8496 c=5.4799 alpha=90.00 beta=90.00 gamma=90.00
With the nearest neighbours (Å) after each atom.
Space group Pmc2_1 (No. 26)
Asymmetric unit:
Tb  0.0000  0.2041  0.0000 (multiplicity 2)  2 O 2.33
Nd  0.5000  0.3656  0.4985 (multiplicity 2)  1 O 2.41
P  0.0000  0.1463  0.4999 (multiplicity 2)  2 Nd 2.73, 3 Tb 2.75-2.78
O  0.5000  0.3271  0.0005 (multiplicity 2)  2 Tb 2.33, 1 Nd 2.41